## ZrFe2Tc (PBE-GGA)

Data for a geometry-optimized ZrFe2Tc structure.

space group = C2/m
crystal system = monoclinic
polymorph energy (0 for the lowest one) = 0.37 eV/f.u.
E = -8.860 eV/atom
energy of formation from the pure elements = 0.4 eV per formula unit

```
data_ZrFe2Tc
_chemical_formula_sum 'Zr1 Fe2 Tc1'
_space_group_name_H-M_alt 'P 1'
_space_group_IT_number 1
_space_group_name_Hall 'P 1'
_cell_length_a 5.001
_cell_length_b 5.001
_cell_length_c 2.742
_cell_angle_alpha 81.14
_cell_angle_beta 81.14
_cell_angle_gamma 115.73
loop_
_atom_site_label
_atom_site_type_symbol
_atom_site_fract_x
_atom_site_fract_y
_atom_site_fract_z
Fe1 Fe 0.000 0.000 0.000
Zr1 Zr 0.000 0.500 0.500
Tc1 Tc 0.500 0.000 0.500
Fe2 Fe 0.500 0.500 0.000
```

***

## CdGa2Bi2Au7 (PBE-GGA)

Data for a geometry-optimized CdGa2Bi2Au7 structure.

space group = C2/m
crystal system = monoclinic
E = -3.213 eV/atom
energy of formation from the pure elements = -0.9 eV per formula unit

```
data_CdGa2Bi2Au7
_chemical_formula_sum 'Cd1 Ga2 Bi2 Au7'
_space_group_name_H-M_alt 'P 1'
_space_group_IT_number 1
_space_group_name_Hall 'P 1'
_cell_length_a 4.193
_cell_length_b 4.193
_cell_length_c 14.567
_cell_angle_alpha 86.67
_cell_angle_beta 86.67
_cell_angle_gamma 89.31
loop_
_atom_site_label
_atom_site_type_symbol
_atom_site_fract_x
_atom_site_fract_y
_atom_site_fract_z
Au1 Au 0.534 0.037 0.851
Au2 Au 0.335 0.335 0.434
Bi1 Bi 0.869 0.869 0.377
Au3 Au 0.665 0.665 0.566
Cd1 Cd 0.000 0.000 0.000
Au4 Au 0.963 0.466 0.149
Au5 Au 0.466 0.963 0.149
Au6 Au 0.037 0.534 0.851
Bi2 Bi 0.131 0.131 0.623
Au7 Au 0.500 0.500 0.000
Ga1 Ga 0.435 0.435 0.261
Ga2 Ga 0.565 0.565 0.739
```

***

## Mg2Ga9Pb (PBE-GGA)

Data for a geometry-optimized Mg2Ga9Pb structure.

space group = P4/mmm
crystal system = tetragonal
E = -2.860 eV/atom
energy of formation from the pure elements = -0.2 eV per formula unit

```
data_Mg2Ga9Pb
_chemical_formula_sum 'Mg2 Ga9 Pb1'
_space_group_name_H-M_alt 'P 1'
_space_group_IT_number 1
_space_group_name_Hall 'P 1'
_cell_length_a 4.264
_cell_length_b 4.264
_cell_length_c 13.131
_cell_angle_alpha 90.00
_cell_angle_beta 90.00
_cell_angle_gamma 90.00
loop_
_atom_site_label
_atom_site_type_symbol
_atom_site_fract_x
_atom_site_fract_y
_atom_site_fract_z
Pb1 Pb 0.000 0.000 0.000
Ga1 Ga 0.000 0.500 0.500
Mg1 Mg 0.000 0.000 0.655
Mg2 Mg 0.000 0.000 0.345
Ga2 Ga 0.000 0.500 0.813
Ga3 Ga 0.500 0.000 0.500
Ga4 Ga 0.000 0.500 0.187
Ga5 Ga 0.500 0.500 0.344
Ga6 Ga 0.500 0.000 0.187
Ga7 Ga 0.500 0.500 0.000
Ga8 Ga 0.500 0.500 0.656
Ga9 Ga 0.500 0.000 0.813
```

***

## Sr4YPa3N8 (PBE-GGA)

Data for a geometry-optimized Sr4YPa3N8 structure.

space group = R-3m
crystal system = trigonal
E_form (uncorrected) = -1371 meV/atom
E = -8.139 eV/atom

```
data_Sr4YPa3N8
_chemical_formula_sum 'Sr4 Y1 Pa3 N8'
_space_group_name_H-M_alt 'P 1'
_space_group_IT_number 1
_space_group_name_Hall 'P 1'
_cell_length_a 7.203
_cell_length_b 7.307
_cell_length_c 7.203
_cell_angle_alpha 119.53
_cell_angle_beta 120.00
_cell_angle_gamma 90.00
loop_
_atom_site_label
_atom_site_type_symbol
_atom_site_fract_x
_atom_site_fract_y
_atom_site_fract_z
Sr1 Sr 0.000 0.000 0.000
N1 N 0.268 0.304 0.536
N2 N 0.760 0.303 0.520
Pa1 Pa 0.500 0.500 0.500
Pa2 Pa 0.000 0.500 0.500
N3 N 0.283 0.303 0.043
N4 N 0.732 0.696 0.464
Sr2 Sr 0.500 0.000 0.000
Sr3 Sr 0.500 0.000 0.500
N5 N 0.240 0.697 0.480
Pa3 Pa 0.500 0.500 0.000
N6 N 0.240 0.697 0.957
N7 N 0.717 0.697 0.957
Y1 Y 0.000 0.500 0.000
Sr4 Sr 0.000 0.000 0.500
N8 N 0.760 0.303 0.043
```

***

## SrBrO2 (PBE-GGA)

Data for a geometry-optimized SrBrO2 structure.

space group = R-3m
crystal system = trigonal
polymorph energy (0 for the lowest one) = 2.76 eV/f.u.
E_form (uncorrected) = -759 meV/atom
E = -4.076 eV/atom

```
data_SrBrO2
_chemical_formula_sum 'Sr1 Br1 O2'
_space_group_name_H-M_alt 'P 1'
_space_group_IT_number 1
_space_group_name_Hall 'P 1'
_cell_length_a 4.637
_cell_length_b 4.637
_cell_length_c 4.637
_cell_angle_alpha 54.67
_cell_angle_beta 54.67
_cell_angle_gamma 54.67
loop_
_atom_site_label
_atom_site_type_symbol
_atom_site_fract_x
_atom_site_fract_y
_atom_site_fract_z
O1 O 0.784 0.784 0.784
O2 O 0.216 0.216 0.216
Sr1 Sr 0.000 0.000 0.000
Br1 Br 0.500 0.500 0.500
```

***

## TbY2ThBi5 (PBE-GGA)

Data for a geometry-optimized TbY2ThBi5 structure.

space group = P4/mmm
crystal system = tetragonal
E = -4.740 eV/atom
energy of formation from the pure elements = 1.7 eV per formula unit

```
data_TbY2ThBi5
_chemical_formula_sum 'Tb1 Y2 Th1 Bi5'
_space_group_name_H-M_alt 'P 1'
_space_group_IT_number 1
_space_group_name_Hall 'P 1'
_cell_length_a 5.724
_cell_length_b 5.724
_cell_length_c 11.950
_cell_angle_alpha 90.00
_cell_angle_beta 90.00
_cell_angle_gamma 90.00
loop_
_atom_site_label
_atom_site_type_symbol
_atom_site_fract_x
_atom_site_fract_y
_atom_site_fract_z
Bi1 Bi 0.500 0.000 0.500
Tb1 Tb 0.000 0.000 0.000
Bi2 Bi 0.000 0.500 0.500
Th1 Th 0.000 0.000 0.500
Y1 Y 0.500 0.500 0.733
Bi3 Bi 0.000 0.000 0.242
Bi4 Bi 0.000 0.000 0.758
Bi5 Bi 0.500 0.500 0.000
Y2 Y 0.500 0.500 0.267
```

***

## TaAlSeN2 (PBE-GGA)

Data for a geometry-optimized TaAlSeN2 structure.

space group = P4/mmm
crystal system = tetragonal
polymorph energy (0 for the lowest one) = 0.00 eV/f.u.
E_form (uncorrected) = 109 meV/atom
E = -7.037 eV/atom

```
data_TaAlSeN2
_chemical_formula_sum 'Ta1 Al1 Se1 N2'
_space_group_name_H-M_alt 'P 1'
_space_group_IT_number 1
_space_group_name_Hall 'P 1'
_cell_length_a 3.995
_cell_length_b 3.995
_cell_length_c 5.433
_cell_angle_alpha 90.00
_cell_angle_beta 90.00
_cell_angle_gamma 90.00
loop_
_atom_site_label
_atom_site_type_symbol
_atom_site_fract_x
_atom_site_fract_y
_atom_site_fract_z
Ta1 Ta 0.000 0.000 0.000
N1 N 0.500 0.000 0.000
Se1 Se 0.000 0.000 0.500
Al1 Al 0.500 0.500 0.500
N2 N 0.000 0.500 0.000
```

***

## NdScTcAg (PBE-GGA)

Data for a geometry-optimized NdScTcAg structure.

space group = F-43m
crystal system = cubic
E = -6.122 eV/atom
energy of formation from the pure elements = -0.2 eV per formula unit

```
data_NdScTcAg
_chemical_formula_sum 'Nd1 Sc1 Tc1 Ag1'
_space_group_name_H-M_alt 'P 1'
_space_group_IT_number 1
_space_group_name_Hall 'P 1'
_cell_length_a 4.922
_cell_length_b 4.922
_cell_length_c 4.922
_cell_angle_alpha 60.00
_cell_angle_beta 60.00
_cell_angle_gamma 60.00
loop_
_atom_site_label
_atom_site_type_symbol
_atom_site_fract_x
_atom_site_fract_y
_atom_site_fract_z
Sc1 Sc 0.500 0.500 0.500
Nd1 Nd 0.000 0.000 0.000
Ag1 Ag 0.250 0.250 0.250
Tc1 Tc 0.750 0.750 0.750
```

***

## Pm2AlAg3 (PBE-GGA)

Data for a geometry-optimized Pm2AlAg3 structure.

space group = Pmm2
crystal system = orthorhombic
polymorph energy (0 for the lowest one) = 0.00 eV/f.u.
E = -3.952 eV/atom
energy of formation from the pure elements = -1.9 eV per formula unit

```
data_Pm2AlAg3
_chemical_formula_sum 'Pm2 Al1 Ag3'
_space_group_name_H-M_alt 'P 1'
_space_group_IT_number 1
_space_group_name_Hall 'P 1'
_cell_length_a 3.530
_cell_length_b 4.724
_cell_length_c 8.345
_cell_angle_alpha 90.00
_cell_angle_beta 90.00
_cell_angle_gamma 90.00
loop_
_atom_site_label
_atom_site_type_symbol
_atom_site_fract_x
_atom_site_fract_y
_atom_site_fract_z
Pm1 Pm 0.000 0.500 0.997
Ag1 Ag 0.500 0.000 0.178
Ag2 Ag 0.500 0.500 0.654
Pm2 Pm 0.000 0.000 0.503
Ag3 Ag 0.500 0.000 0.839
Al1 Al 0.500 0.500 0.329
```

***

## LaAl2Pt (PBE-GGA)

Data for a geometry-optimized LaAl2Pt structure.

space group = Pnma
crystal system = orthorhombic
E = -5.522 eV/atom
energy of formation from the pure elements = -3.6 eV per formula unit

```
data_LaAl2Pt
_chemical_formula_sum 'La8 Al16 Pt8'
_space_group_name_H-M_alt 'P 1'
_space_group_IT_number 1
_space_group_name_Hall 'P 1'
_cell_length_a 5.991
_cell_length_b 7.047
_cell_length_c 16.009
_cell_angle_alpha 90.00
_cell_angle_beta 90.00
_cell_angle_gamma 90.00
loop_
_atom_site_label
_atom_site_type_symbol
_atom_site_fract_x
_atom_site_fract_y
_atom_site_fract_z
Al1 Al 0.205 0.440 0.956
Al2 Al 0.984 0.443 0.211
Al3 Al 0.484 0.943 0.289
Pt1 Pt 0.500 0.250 0.572
Al4 Al 0.516 0.443 0.711
Al5 Al 0.484 0.557 0.289
Al6 Al 0.705 0.940 0.544
La1 La 0.781 0.250 0.397
Pt2 Pt 0.000 0.750 0.928
Pt3 Pt 0.746 0.750 0.684
Al7 Al 0.705 0.560 0.544
Al8 Al 0.295 0.440 0.456
Pt4 Pt 0.500 0.750 0.428
Pt5 Pt 0.254 0.250 0.316
La2 La 0.719 0.250 0.897
Al9 Al 0.795 0.940 0.044
Pt6 Pt 0.754 0.750 0.184
Al10 Al 0.516 0.057 0.711
Al11 Al 0.295 0.060 0.456
Al12 Al 0.205 0.060 0.956
Al13 Al 0.795 0.560 0.044
La3 La 0.012 0.250 0.638
La4 La 0.988 0.750 0.362
Al14 Al 0.984 0.057 0.211
La5 La 0.488 0.250 0.138
La6 La 0.281 0.750 0.103
La7 La 0.512 0.750 0.862
Pt7 Pt 0.246 0.250 0.816
Al15 Al 0.016 0.557 0.789
La8 La 0.219 0.750 0.603
Pt8 Pt 0.000 0.250 0.072
Al16 Al 0.016 0.943 0.789
```